(1)
Li4AcTb | PBE | optimized geometry

Cell lengths 8.5745, 8.5745, 8.5745 Å; angles 90.00, 90.00, 90.00 degrees
Last column: nearest neighbours and their distance in Å.
Space group F-43m (No. 216)
Inequivalent atoms, fractional coordinates:
Li 0.1233 0.1233 0.1233  6 Li 2.99-3.07
Ac 0.0000 0.0000 0.5000  12 Li 3.56, 4 Tb 3.71
Tb 0.2500 0.2500 0.7500  12 Li 3.55, 4 Ac 3.71

Output
- raw total energy (eV per formula unit) = -15.81
- E_form (eV/atom) = 0.10


(2)
NaSi2Pd3 | PBE | optimized geometry

Cell lengths 11.4029, 7.0925, 5.7649 Å; angles 90.00, 120.17, 90.00 degrees
Last column: nearest neighbours and their distance in Å.
Space group Cm (No. 8)
Inequivalent atoms, fractional coordinates:
Na 0.0000 0.0000 0.0000  6 Pd 3.09-3.29, 6 Si 3.13-3.36
Na 0.0001 0.5000 0.0625  8 Pd 3.13-3.36, 4 Si 3.17-3.42
Si 0.1567 0.0000 0.6411  6 Pd 2.45-2.56, 1 Si 2.60
Si 0.1895 0.5000 0.8067  6 Pd 2.42-2.46, 1 Si 2.60
Si 0.3104 0.0000 0.4264  6 Pd 2.42-2.46, 1 Si 2.60
Si 0.3435 0.5000 0.3269  6 Pd 2.45-2.56, 1 Si 2.60
Pd 0.0002 0.2818 0.5461  4 Si 2.46-2.55
Pd 0.2495 0.2988 0.5405  4 Si 2.42-2.56
Pd 0.2507 0.2012 0.0416  4 Si 2.42-2.56

Output
- E_form (uncorrected) (meV per atom) = -615
- raw total energy (eV per formula unit) = -31.43


(3)
LuCuPtRh | PBE | optimized geometry

Cell lengths 6.3975, 6.3975, 6.3975 Å; angles 90.00, 90.00, 90.00 degrees
Last column: nearest neighbours and their distance in Å.
Space group F-43m (No. 216)
Inequivalent atoms, fractional coordinates:
Lu 0.0000 0.0000 0.0000  4 Rh 2.77, 4 Pt 2.77
Cu 0.0000 0.0000 0.5000  4 Pt 2.77, 4 Rh 2.77
Pt 0.2500 0.2500 0.7500  4 Cu 2.77, 4 Lu 2.77
Rh 0.2500 0.2500 0.2500  4 Cu 2.77, 4 Lu 2.77

Output
- raw total energy (eV per formula unit) = -24.63
- E_form (eV/atom) = -0.65